Entry from the Alexandria database: a relaxed structure of Pd2Pt9W (GGA-PBE).

Cell lengths 3.9669, 3.9669, 11.8754 Å; angles 90.00, 90.00, 90.00 degrees
Sites, in units of the cell vectors:
Pd1 0.0000 0.0000 0.6670
Pd2 0.0000 0.0000 0.3330
W1 0.0000 0.0000 0.0000
Pt1 0.0000 0.5000 0.1605
Pt2 0.5000 0.5000 0.3315
Pt3 0.5000 0.5000 0.6685
Pt4 0.5000 0.0000 0.1605
Pt5 0.0000 0.5000 0.5000
Pt6 0.5000 0.0000 0.5000
Pt7 0.0000 0.5000 0.8395
Pt8 0.5000 0.5000 0.0000
Pt9 0.5000 0.0000 0.8395

Computed properties:
**DFT formation energy**: -136 meV per atom